No. 1
A relaxed Na2NdCdSn2 crystal, computed with PBE.

Structure (POSCAR):
```
Na2NdCdSn2
1.0
-2.064 3.529 2.619
0.458 -4.416 6.312
8.291 3.486 1.837
Na Nd Cd Sn
4 2 2 4
direct
0.500 0.029 0.075
0.000 0.338 0.163
0.500 0.529 0.925
0.000 0.838 0.837
0.000 0.996 0.462
0.000 0.496 0.538
0.500 0.155 0.688
0.500 0.655 0.312
0.000 0.255 0.830
0.500 0.272 0.380
0.000 0.755 0.170
0.500 0.772 0.620
```

Output
**Density of states at the Fermi level**: 6.25 states/eV/cell
**Space group**: No. 26
**Energy of formation**: -363 meV per atom
**Magnetic moment**: 0.00 μB per atom
**Mass density**: 5.215 g/cm3

---

No. 2
A relaxed Zr5GaHg4 crystal, computed with PBE.

Structure (POSCAR):
```
Zr5GaHg4
1.0
3.160 0.000 0.000
0.000 3.160 0.000
0.000 0.000 21.078
Zr Ga Hg
5 1 4
direct
0.500 0.500 0.090
0.500 0.500 0.296
0.500 0.500 0.500
0.500 0.500 0.704
0.500 0.500 0.910
0.000 0.000 0.000
0.000 0.000 0.195
0.000 0.000 0.398
0.000 0.000 0.602
0.000 0.000 0.805
```

Output
**Density of states at the Fermi level**: 12.54 states/eV/cell
**Space group**: No. 123
**Energy of formation**: -251 meV per atom
**Magnetic moment**: 0.01 μB per atom
**Mass density**: 10.481 g/cm3

---

No. 3
A relaxed HfTi4Pb crystal, computed with PBE.

Structure (POSCAR):
```
HfTi4Pb
1.0
3.656 0.000 1.058
2.078 4.897 -0.334
0.034 -1.852 6.731
Hf Ti Pb
1 4 1
direct
0.000 0.000 0.000
0.828 0.497 0.846
0.344 0.979 0.334
0.172 0.503 0.154
0.656 0.021 0.666
0.500 0.500 0.500
```

Output
**Density of states at the Fermi level**: 8.19 states/eV/cell
**Space group**: No. 12
**Energy above the most stable polymorph in this dataset**: 0.0 meV/atom
**Energy of formation**: -34 meV per atom
**Magnetic moment**: 0.00 μB per atom
**Mass density**: 8.407 g/cm3

---

No. 4
A relaxed Cs2YNiCl6 crystal, computed with PBE.

Structure (POSCAR):
```
Cs2YNiCl6
1.0
7.103 0.000 0.000
0.000 7.103 0.000
3.551 3.551 6.032
Cs Y Cl Ni
2 1 6 1
direct
0.750 0.250 0.500
0.250 0.750 0.500
0.000 0.000 0.000
0.218 0.218 0.563
0.782 0.782 0.437
0.265 0.265 0.000
0.735 0.735 0.000
0.735 0.265 0.000
0.265 0.735 0.000
0.500 0.500 0.000
```

Output
**Density of states at the Fermi level**: 0.00 states/eV/cell
**Formation energy (no corrections)**: -17.332 eV/f.u.
**Space group**: No. 139
**Magnetic moment**: 0.10 μB per atom
**Mass density**: 3.416 g/cm3

---

No. 5
A relaxed BeCuHg2Pb crystal, computed with PBE.

Structure (POSCAR):
```
BeCuHg2Pb
1.0
-1.428 0.811 4.783
3.873 -1.527 1.415
1.922 4.672 -0.219
Pb Be Hg Cu
1 1 2 1
direct
0.500 0.500 0.500
0.000 0.500 0.000
0.000 0.000 0.500
0.500 0.000 0.000
0.000 0.000 0.000
```

Output
**Density of states at the Fermi level**: 2.17 states/eV/cell
**Space group**: No. 123
**Energy of formation**: 434 meV per atom
**Magnetic moment**: 0.00 μB per atom
**Mass density**: 10.056 g/cm3

---

No. 6
A relaxed Ac4Hg3O4 crystal, computed with PBE.

Structure (POSCAR):
```
Ac4Hg3O4
1.0
4.302 0.000 0.000
-2.151 7.735 0.000
0.000 0.000 8.605
Ac Hg O
4 3 4
direct
0.675 0.350 0.757
0.675 0.350 0.243
0.018 0.037 0.500
0.009 0.018 0.000
0.367 0.734 0.322
0.367 0.734 0.678
0.307 0.614 0.000
0.604 0.209 0.500
0.589 0.178 0.000
0.093 0.186 0.753
0.093 0.186 0.247
```

Output
**Density of states at the Fermi level**: 7.02 states/eV/cell
**Formation energy (no corrections)**: -24.426 eV/f.u.
**Space group**: No. 38
**Magnetic moment**: 0.00 μB per atom
**Mass density**: 9.126 g/cm3

---

No. 7
A relaxed Mg2ScBe2 crystal, computed with PBE.

Structure (POSCAR):
```
Mg2ScBe2
1.0
-6.361 -3.612 0.003
3.052 -5.373 3.914
-0.836 1.475 2.676
Sc Be Mg
2 4 4
direct
0.000 0.000 0.000
0.500 0.500 0.000
0.388 0.888 0.000
0.888 0.612 0.000
0.612 0.112 0.000
0.112 0.388 0.000
0.179 0.679 0.500
0.679 0.821 0.500
0.821 0.321 0.500
0.321 0.179 0.500
```

Output
**Density of states at the Fermi level**: 6.50 states/eV/cell
**Space group**: No. 127
**Energy of formation**: 249 meV per atom
**Magnetic moment**: 0.05 μB per atom
**Mass density**: 2.186 g/cm3

---

No. 8
A relaxed AcZn3Si crystal, computed with PBE.

Structure (POSCAR):
```
AcZn3Si
1.0
4.226 0.000 0.688
-0.123 4.314 0.754
0.309 0.254 11.418
Ac Zn Si
2 6 2
direct
0.593 0.344 0.813
0.407 0.656 0.187
0.028 0.778 0.944
0.972 0.222 0.056
0.292 0.041 0.415
0.708 0.959 0.585
0.214 0.465 0.571
0.786 0.535 0.429
0.856 0.105 0.287
0.144 0.895 0.713
```

Output
**Density of states at the Fermi level**: 4.69 states/eV/cell
**Formation energy (no corrections)**: -1.413 eV/f.u.
**Space group**: No. 12
**Magnetic moment**: 0.00 μB per atom
**Mass density**: 7.261 g/cm3